[1]
# Ce3NbSb5 PBEsol optimized geometry
data_Ce3NbSb5
_chemical_formula_sum 'Ce6 Nb2 Sb10'
_symmetry_space_group_name_H-M 'P 1'
_symmetry_Int_Tables_number 1
_symmetry_space_group_name_Hall 'P 1'
_cell_length_a 9.179
_cell_length_b 9.179
_cell_length_c 6.124
_cell_angle_alpha 90.00
_cell_angle_beta 90.00
_cell_angle_gamma 120.00
loop_
_atom_site_label
_atom_site_type_symbol
_atom_site_fract_x
_atom_site_fract_y
_atom_site_fract_z
Ce1 Ce 0.000 0.381 0.250
Ce2 Ce 0.000 0.619 0.750
Ce3 Ce 0.381 0.000 0.250
Ce4 Ce 0.381 0.381 0.750
Ce5 Ce 0.619 0.000 0.750
Ce6 Ce 0.619 0.619 0.250
Nb1 Nb 0.000 0.000 0.000
Nb2 Nb 0.000 0.000 0.500
Sb1 Sb 0.000 0.265 0.750
Sb2 Sb 0.000 0.735 0.250
Sb3 Sb 0.265 0.000 0.750
Sb4 Sb 0.265 0.265 0.250
Sb5 Sb 0.333 0.667 0.000
Sb6 Sb 0.333 0.667 0.500
Sb7 Sb 0.667 0.333 0.000
Sb8 Sb 0.667 0.333 0.500
Sb9 Sb 0.735 0.000 0.250
Sb10 Sb 0.735 0.735 0.750
# magnetization	2.9	μB per cell
# final energy	-121.9	eV for the cell shown
# uncorrected formation energy	-19.3	kcal/mol of atoms
# space group	P6_3/mcm (193)
# volume	24.82	Å³/atom

[2]
# KSrSe2Br PBEsol optimized geometry
data_KSrSe2Br
_chemical_formula_sum 'K1 Sr1 Se2 Br1'
_symmetry_space_group_name_H-M 'P 1'
_symmetry_Int_Tables_number 1
_symmetry_space_group_name_Hall 'P 1'
_cell_length_a 5.827
_cell_length_b 5.827
_cell_length_c 5.896
_cell_angle_alpha 90.00
_cell_angle_beta 90.00
_cell_angle_gamma 90.00
loop_
_atom_site_label
_atom_site_type_symbol
_atom_site_fract_x
_atom_site_fract_y
_atom_site_fract_z
K1 K 0.000 0.000 0.000
Sr1 Sr 0.500 0.500 0.500
Se1 Se 0.000 0.500 0.500
Se2 Se 0.500 0.000 0.500
Br1 Br 0.500 0.500 0.000
# magnetization	1.7	μB per cell
# final energy	-16.9	eV for the cell shown
# uncorrected formation energy	-20.2	kcal/mol of atoms
# space group	P4/mmm (123)
# volume	40.03	Å³/atom

[3]
# MnHF2 PBEsol optimized geometry
data_MnHF2
_chemical_formula_sum 'Mn1 H1 F2'
_symmetry_space_group_name_H-M 'P 1'
_symmetry_Int_Tables_number 1
_symmetry_space_group_name_Hall 'P 1'
_cell_length_a 3.736
_cell_length_b 3.736
_cell_length_c 3.736
_cell_angle_alpha 60.00
_cell_angle_beta 60.00
_cell_angle_gamma 60.00
loop_
_atom_site_label
_atom_site_type_symbol
_atom_site_fract_x
_atom_site_fract_y
_atom_site_fract_z
Mn1 Mn 0.000 0.000 0.000
H1 H 0.500 0.500 0.500
F1 F 0.250 0.250 0.250
F2 F 0.750 0.750 0.750
# magnetization	6.0	μB per cell
# final energy	-20.8	eV for the cell shown
# space group	Fm-3m (225)
# volume	9.22	Å³/atom

[4]
# TlCrP2O PBEsol optimized geometry
data_TlCrP2O
_chemical_formula_sum 'Tl1 Cr1 P2 O1'
_symmetry_space_group_name_H-M 'P 1'
_symmetry_Int_Tables_number 1
_symmetry_space_group_name_Hall 'P 1'
_cell_length_a 4.723
_cell_length_b 4.723
_cell_length_c 3.513
_cell_angle_alpha 90.00
_cell_angle_beta 90.00
_cell_angle_gamma 90.00
loop_
_atom_site_label
_atom_site_type_symbol
_atom_site_fract_x
_atom_site_fract_y
_atom_site_fract_z
Tl1 Tl 0.000 0.000 0.000
Cr1 Cr 0.500 0.500 0.500
P1 P 0.000 0.500 0.500
P2 P 0.500 0.000 0.500
O1 O 0.500 0.500 0.000
# magnetization	0.0	μB per cell
# final energy	-31.0	eV for the cell shown
# uncorrected formation energy	-6.1	kcal/mol of atoms
# space group	P4/mmm (123)
# volume	15.67	Å³/atom

[5]
# SrLaSnP2 PBEsol optimized geometry
data_SrLaSnP2
_chemical_formula_sum 'Sr1 La1 Sn1 P2'
_symmetry_space_group_name_H-M 'P 1'
_symmetry_Int_Tables_number 1
_symmetry_space_group_name_Hall 'P 1'
_cell_length_a 5.382
_cell_length_b 5.382
_cell_length_c 5.814
_cell_angle_alpha 90.00
_cell_angle_beta 90.00
_cell_angle_gamma 90.00
loop_
_atom_site_label
_atom_site_type_symbol
_atom_site_fract_x
_atom_site_fract_y
_atom_site_fract_z
Sr1 Sr 0.000 0.000 0.000
La1 La 0.500 0.500 0.500
Sn1 Sn 0.500 0.500 0.000
P1 P 0.000 0.500 0.500
P2 P 0.500 0.000 0.500
# magnetization	0.0	μB per cell
# final energy	-22.8	eV for the cell shown
# formation energy from the elements	0.055	eV/atom
# space group	P4/mmm (123)
# volume	33.69	Å³/atom

[6]
# Zr2TaMo PBEsol optimized geometry
data_Zr2TaMo
_chemical_formula_sum 'Zr2 Ta1 Mo1'
_symmetry_space_group_name_H-M 'P 1'
_symmetry_Int_Tables_number 1
_symmetry_space_group_name_Hall 'P 1'
_cell_length_a 2.803
_cell_length_b 4.823
_cell_length_c 5.573
_cell_angle_alpha 90.00
_cell_angle_beta 90.00
_cell_angle_gamma 90.00
loop_
_atom_site_label
_atom_site_type_symbol
_atom_site_fract_x
_atom_site_fract_y
_atom_site_fract_z
Zr1 Zr 0.000 0.000 0.000
Zr2 Zr 0.500 0.500 0.256
Ta1 Ta 0.500 0.500 0.743
Mo1 Mo 0.000 0.000 0.512
# ΔE to the lowest computed polymorph	253.5	meV per atom
# magnetization	0.0	μB per cell
# final energy	-41.5	eV for the cell shown
# formation energy from the elements	0.246	eV/atom
# space group	Pmm2 (25)
# volume	18.83	Å³/atom

[7]
# NaRe2NiB PBEsol optimized geometry
data_NaRe2NiB
_chemical_formula_sum 'Na1 Re2 Ni1 B1'
_symmetry_space_group_name_H-M 'P 1'
_symmetry_Int_Tables_number 1
_symmetry_space_group_name_Hall 'P 1'
_cell_length_a 4.578
_cell_length_b 4.578
_cell_length_c 3.660
_cell_angle_alpha 90.00
_cell_angle_beta 90.00
_cell_angle_gamma 90.00
loop_
_atom_site_label
_atom_site_type_symbol
_atom_site_fract_x
_atom_site_fract_y
_atom_site_fract_z
Na1 Na 0.000 0.000 0.000
Re1 Re 0.000 0.500 0.500
Re2 Re 0.500 0.000 0.500
Ni1 Ni 0.500 0.500 0.500
B1 B 0.500 0.500 0.000
# magnetization	2.6	μB per cell
# final energy	-32.0	eV for the cell shown
# formation energy from the elements	1.854	eV/atom
# space group	P4/mmm (123)
# volume	15.34	Å³/atom

[8]
# Hf2Al2Ag PBEsol optimized geometry
data_Hf2Al2Ag
_chemical_formula_sum 'Hf4 Al4 Ag2'
_symmetry_space_group_name_H-M 'P 1'
_symmetry_Int_Tables_number 1
_symmetry_space_group_name_Hall 'P 1'
_cell_length_a 6.535
_cell_length_b 6.535
_cell_length_c 4.249
_cell_angle_alpha 90.00
_cell_angle_beta 90.00
_cell_angle_gamma 90.00
loop_
_atom_site_label
_atom_site_type_symbol
_atom_site_fract_x
_atom_site_fract_y
_atom_site_fract_z
Hf1 Hf 0.163 0.337 0.000
Hf2 Hf 0.337 0.837 0.000
Hf3 Hf 0.663 0.163 0.000
Hf4 Hf 0.837 0.663 0.000
Al1 Al 0.138 0.638 0.500
Al2 Al 0.362 0.138 0.500
Al3 Al 0.638 0.862 0.500
Al4 Al 0.862 0.362 0.500
Ag1 Ag 0.000 0.000 0.500
Ag2 Ag 0.500 0.500 0.500
# magnetization	0.0	μB per cell
# final energy	-68.0	eV for the cell shown
# formation energy from the elements	-0.302	eV/atom
# space group	P4/mbm (127)
# volume	18.14	Å³/atom

> Which formula does entry 5 have?

SrLaSnP2

> The lowest volume belongs to which entry?

MnHF2

> Which value of magnetization does entry 7 give?

2.6 μB per cell